No. 1
# Si2TcMo | Alexandria | GGA-PBE | optimized geometry
# Polymorph energy (0 for the lowest one) ... 6.84 kcal/mol of atoms
# Calculated total energy ... -8.163 eV per atom
# Formation energy without anion corrections ... -0.1523 eV/atom
# DOS at the Fermi energy ... 5.05 states/eV/cell
# Crystal system ... monoclinic
data_Si2TcMo
_symmetry_space_group_name_H-M 'C 1 2/m 1'
_symmetry_Int_Tables_number 12
_cell_length_a 8.096
_cell_length_b 2.877
_cell_length_c 4.985
_cell_angle_alpha 90.00
_cell_angle_beta 101.63
_cell_angle_gamma 90.00
loop_
_symmetry_equiv_pos_as_xyz
'x,y,z'
'-x,-y,-z'
'-x,y,-z'
'x,-y,z'
'x+1/2,y+1/2,z'
'-x+1/2,-y+1/2,-z'
'-x+1/2,y+1/2,-z'
'x+1/2,-y+1/2,z'
loop_
_atom_site_label
_atom_site_fract_x
_atom_site_fract_y
_atom_site_fract_z
Si1 0.246 0.000 0.225
Tc1 0.000 0.500 0.000
Mo1 0.000 0.000 0.500

=====

No. 2
# Er6Pd2N | Alexandria | GGA-PBE | optimized geometry
# Calculated total energy ... -5.932 eV per atom
# Formation energy without anion corrections ... -0.8109 eV/atom
# DOS at the Fermi energy ... 16.66 states/eV/cell
# Crystal system ... monoclinic
data_Er6Pd2N
_symmetry_space_group_name_H-M 'P 1 21/c 1'
_symmetry_Int_Tables_number 14
_cell_length_a 6.464
_cell_length_b 6.898
_cell_length_c 11.342
_cell_angle_alpha 90.00
_cell_angle_beta 123.81
_cell_angle_gamma 90.00
loop_
_symmetry_equiv_pos_as_xyz
'x,y,z'
'-x,-y,-z'
'-x,y+1/2,-z+1/2'
'x,-y+1/2,z+1/2'
loop_
_atom_site_label
_atom_site_fract_x
_atom_site_fract_y
_atom_site_fract_z
Er1 0.134 0.027 0.242
Er2 0.235 0.699 0.054
Er3 0.359 0.183 0.054
Pd1 0.286 0.083 0.751
N1 0.000 0.000 0.000

=====

No. 3
# Hf2MgPd4 | Alexandria | GGA-PBE | optimized geometry
# Calculated total energy ... -6.661 eV per atom
# DOS at the Fermi energy ... 8.23 states/eV/cell
# Crystal system ... triclinic
# Formation enthalpy at 0 K ... -0.622 eV/atom
data_Hf2MgPd4
_symmetry_space_group_name_H-M 'P 1'
_symmetry_Int_Tables_number 1
_cell_length_a 6.452
_cell_length_b 6.788
_cell_length_c 6.819
_cell_angle_alpha 105.98
_cell_angle_beta 106.16
_cell_angle_gamma 108.80
loop_
_symmetry_equiv_pos_as_xyz
'x,y,z'
loop_
_atom_site_label
_atom_site_fract_x
_atom_site_fract_y
_atom_site_fract_z
Hf1 0.000 0.000 0.000
Hf2 0.053 0.589 0.176
Hf3 0.199 0.349 0.526
Hf4 0.766 0.514 0.579
Mg1 0.520 0.171 0.826
Mg2 0.680 0.862 0.319
Pd1 0.081 0.892 0.579
Pd2 0.253 0.732 0.907
Pd3 0.376 0.063 0.357
Pd4 0.394 0.405 0.171
Pd5 0.482 0.764 0.583
Pd6 0.632 0.612 0.924
Pd7 0.759 0.212 0.216
Pd8 0.939 0.246 0.758

=====

No. 4
# Na3PdSe | Alexandria | GGA-PBE | optimized geometry
# Polymorph energy (0 for the lowest one) ... 0.00 kcal/mol of atoms
# Calculated total energy ... -2.714 eV per atom
# Formation energy without anion corrections ... -0.1875 eV/atom
# DOS at the Fermi energy ... 8.43 states/eV/cell
# Crystal system ... cubic
data_Na3PdSe
_symmetry_space_group_name_H-M 'P m -3 m'
_symmetry_Int_Tables_number 221
_symmetry_space_group_name_Hall '-P 4 2 3'
_cell_length_a 5.425
_cell_length_b 5.425
_cell_length_c 5.425
_cell_angle_alpha 90.00
_cell_angle_beta 90.00
_cell_angle_gamma 90.00
loop_
_atom_site_label
_atom_site_fract_x
_atom_site_fract_y
_atom_site_fract_z
Na1 0.000 0.000 0.500
Pd1 0.500 0.500 0.500
Se1 0.000 0.000 0.000

=====

No. 5
# TeAuSe | Alexandria | GGA-PBE | optimized geometry
# Polymorph energy (0 for the lowest one) ... 1.73 kcal/mol of atoms
# Calculated total energy ... -3.253 eV per atom
# Formation energy without anion corrections ... 0.0479 eV/atom
# DOS at the Fermi energy ... 1.77 states/eV/cell
# Crystal system ... triclinic
data_TeAuSe
_symmetry_space_group_name_H-M 'P 1'
_symmetry_Int_Tables_number 1
_cell_length_a 2.904
_cell_length_b 6.182
_cell_length_c 11.551
_cell_angle_alpha 89.82
_cell_angle_beta 87.73
_cell_angle_gamma 89.64
loop_
_symmetry_equiv_pos_as_xyz
'x,y,z'
loop_
_atom_site_label
_atom_site_fract_x
_atom_site_fract_y
_atom_site_fract_z
Te1 0.000 0.000 0.000
Te2 0.000 0.500 0.000
Au1 0.960 0.000 0.499
Au2 0.960 0.500 0.499
Se1 0.934 0.249 0.667
Se2 0.987 0.751 0.332

=====

No. 6
# NaNbReNi2 | Alexandria | GGA-PBE | optimized geometry
# Calculated total energy ... -5.327 eV per atom
# DOS at the Fermi energy ... 9.73 states/eV/cell
# Crystal system ... tetragonal
# Formation enthalpy at 0 K ... 1.753 eV/atom
data_NaNbReNi2
_symmetry_space_group_name_H-M 'P 4/m m m'
_symmetry_Int_Tables_number 123
_symmetry_space_group_name_Hall '-P 4 2'
_cell_length_a 4.099
_cell_length_b 4.099
_cell_length_c 4.693
_cell_angle_alpha 90.00
_cell_angle_beta 90.00
_cell_angle_gamma 90.00
loop_
_atom_site_label
_atom_site_fract_x
_atom_site_fract_y
_atom_site_fract_z
Na1 0.000 0.000 0.000
Nb1 0.500 0.500 0.500
Re1 0.000 0.000 0.500
Ni1 0.000 0.500 0.000

=====

No. 7
# Cs3RhO3 | Alexandria | GGA-PBE | optimized geometry
# Polymorph energy (0 for the lowest one) ... 0.00 kcal/mol of atoms
# Calculated total energy ... -4.618 eV per atom
# Formation energy without anion corrections ... -1.0766 eV/atom
# Crystal system ... monoclinic
data_Cs3RhO3
_symmetry_space_group_name_H-M 'P 1 21/m 1'
_symmetry_Int_Tables_number 11
_cell_length_a 7.745
_cell_length_b 6.139
_cell_length_c 8.122
_cell_angle_alpha 90.00
_cell_angle_beta 99.71
_cell_angle_gamma 90.00
loop_
_symmetry_equiv_pos_as_xyz
'x,y,z'
'-x,-y,-z'
'-x,y+1/2,-z'
'x,-y+1/2,z'
loop_
_atom_site_label
_atom_site_fract_x
_atom_site_fract_y
_atom_site_fract_z
Cs1 0.098 0.250 0.299
Cs2 0.325 0.750 0.070
Cs3 0.358 0.750 0.576
Rh1 0.197 0.250 0.777
O1 0.042 0.750 0.310
O2 0.284 0.250 0.005
O3 0.363 0.250 0.632

=====

No. 8
# Hf2TaAl5Pd2 | Alexandria | GGA-PBE | optimized geometry
# Calculated total energy ... -6.586 eV per atom
# DOS at the Fermi energy ... 8.91 states/eV/cell
# Crystal system ... tetragonal
# Formation enthalpy at 0 K ... -0.500 eV/atom
data_Hf2TaAl5Pd2
_symmetry_space_group_name_H-M 'P 4/m b m'
_symmetry_Int_Tables_number 127
_symmetry_space_group_name_Hall '-P 4 2ab'
_cell_length_a 9.116
_cell_length_b 9.116
_cell_length_c 4.110
_cell_angle_alpha 90.00
_cell_angle_beta 90.00
_cell_angle_gamma 90.00
loop_
_atom_site_label
_atom_site_fract_x
_atom_site_fract_y
_atom_site_fract_z
Hf1 0.181 0.319 0.000
Ta1 0.000 0.000 0.000
Al1 0.000 0.500 0.500
Al2 0.059 0.795 0.500
Pd1 0.117 0.617 0.000